No. 1
Compound: LiHo2MgHg4
Source: the Alexandria database
Functional: GGA-PBE
Structure: optimized geometry

The energy of formation is -0.452 eV/atom.

The structure belongs to space group R-3m (No. 166, hexagonal axes); the cell edges are 5.0277, 5.0277 and 24.6463 Å and the angles 90.00°, 90.00° and 120.00°. The asymmetric unit holds Li at (0.0000, 0.0000, 0.0000), Ho at (0.0000, 0.0000, 0.2492), Mg at (0.0000, 0.0000, 0.5000), Hg at (0.0000, 0.0000, 0.1222) and Hg at (0.0000, 0.0000, 0.3730).

---

No. 2
Compound: Nb2HgSb
Source: the Alexandria database
Functional: GGA-PBE
Structure: optimized geometry

The calculation puts the energy above the most stable polymorph in this dataset at 242 meV/atom. The value obtained for the formation energy from raw total energies is 468.6 meV per atom.

The structure belongs to space group I-42d (No. 122); the cell edges are 4.0876, 4.0876 and 20.6964 Å and the angles 90.00°, 90.00° and 90.00°. The asymmetric unit holds Nb at (0.2470, 0.2500, 0.1250), Hg at (0.0000, 0.0000, 0.5000) and Sb at (0.0000, 0.0000, 0.0000).

---

No. 3
Compound: RuPt2
Source: the Alexandria database
Functional: GGA-PBE
Structure: optimized geometry

The energy of formation is 0.077 eV/atom.

The structure belongs to space group Cm (No. 8); the cell edges are 10.2500, 2.7687 and 6.6307 Å and the angles 90.00°, 104.78° and 90.00°. The asymmetric unit holds Ru at (0.0000, 0.0000, 0.0000), Ru at (0.1529, 0.5000, 0.3117), Pt at (0.0982, 0.5000, 0.7150), Pt at (0.2717, 0.0000, 0.0460), Pt at (0.3224, 0.0000, 0.6552) and Pt at (0.4388, 0.5000, 0.3747).

---

No. 4
Compound: KAuBr2
Source: the Alexandria database
Functional: GGA-PBE
Structure: optimized geometry

The calculation puts the energy above the most stable polymorph in this dataset at 3 meV/atom. The value obtained for the formation energy from raw total energies is -927.3 meV per atom.

The structure belongs to space group C2/m (No. 12); the cell edges are 9.6095, 5.0652 and 7.5995 Å and the angles 90.00°, 104.54° and 90.00°. The asymmetric unit holds K at (0.0000, 0.0000, 0.0000), Au at (0.0000, 0.5000, 0.5000) and Br at (0.1398, 0.5000, 0.8133).

---

No. 5
Compound: LaTb6Pr4
Source: the Alexandria database
Functional: GGA-PBE
Structure: optimized geometry

The calculation puts the energy above the most stable polymorph in this dataset at 124 meV/atom. The energy of formation is 0.424 eV/atom.

The structure belongs to space group I-42m (No. 121); the cell edges are 7.8883, 7.8883 and 13.0159 Å and the angles 90.00°, 90.00° and 90.00°. The asymmetric unit holds La at (0.0000, 0.0000, 0.0000), Tb at (0.0000, 0.5000, 0.0000), Tb at (0.2446, 0.2446, 0.6872) and Pr at (0.1741, 0.1741, 0.4254).

---

No. 6
Compound: Pm3Nd2Ag4
Source: the Alexandria database
Functional: GGA-PBE
Structure: optimized geometry

The energy of formation is -0.123 eV/atom.

The structure belongs to space group Cmce (No. 64); the cell edges are 6.9914, 18.5557 and 7.8532 Å and the angles 90.00°, 90.00° and 90.00°. The asymmetric unit holds Pm at (0.0000, 0.0000, 0.0000), Pm at (0.2500, 0.2430, 0.2500), Nd at (0.0000, 0.0952, 0.5791), Ag at (0.0000, 0.1608, 0.9841) and Ag at (0.2500, 0.0756, 0.2500).

---

No. 7
Compound: CaLa5Ir4
Source: the Alexandria database
Functional: GGA-PBE
Structure: optimized geometry

The energy of formation is -0.605 eV/atom.

The structure belongs to space group C2/m (No. 12); the cell edges are 14.9453, 5.0685 and 7.1483 Å and the angles 90.00°, 94.85° and 90.00°. The asymmetric unit holds Ca at (0.0000, 0.0000, 0.0000), La at (0.0000, 0.0000, 0.5000), La at (0.1587, 0.5000, 0.0244), La at (0.1684, 0.5000, 0.5294), Ir at (0.0121, 0.5000, 0.2686) and Ir at (0.1709, 0.0000, 0.7529).

---

No. 8
Compound: ZrCdPb2
Source: the Alexandria database
Functional: GGA-PBE
Structure: optimized geometry

The energy of formation is -0.031 eV/atom.

The structure belongs to space group Cm (No. 8); the cell edges are 11.6934, 3.3206 and 5.5480 Å and the angles 90.00°, 109.75° and 90.00°. The asymmetric unit holds Zr at (0.0000, 0.0000, 0.0000), Cd at (0.2229, 0.5000, 0.3701), Pb at (0.2519, 0.0000, 0.8987) and Pb at (0.4791, 0.0000, 0.4959).

---

No. 9
Compound: Tb2Y2Sc
Source: the Alexandria database
Functional: GGA-PBE
Structure: optimized geometry

The calculation puts the energy above the most stable polymorph in this dataset at 0 meV/atom. The energy of formation is 0.018 eV/atom.

The structure belongs to space group C2/c (No. 15); the cell edges are 11.7058, 6.1932 and 9.0585 Å and the angles 90.00°, 110.08° and 90.00°. The asymmetric unit holds Tb at (0.0963, 0.1715, 0.4497), Y at (0.2022, 0.3395, 0.1507) and Sc at (0.0000, 0.3308, 0.7500).

---

No. 10
Compound: NaTa4InN8
Source: the Alexandria database
Functional: GGA-PBE
Structure: optimized geometry

The value obtained for the formation energy from raw total energies is -688.6 meV per atom.

The structure belongs to space group R3m (No. 160, hexagonal axes); the cell edges are 6.3007, 6.3007 and 15.7066 Å and the angles 90.00°, 90.00° and 120.00°. The asymmetric unit holds Na at (0.0000, 0.0000, 0.0000), Ta at (0.0000, 0.0000, 0.6247), Ta at (0.1709, 0.3419, 0.8336), In at (0.0000, 0.0000, 0.3815), N at (0.0000, 0.0000, 0.2429), N at (0.0000, 0.0000, 0.7626), N at (0.0053, 0.5026, 0.2431) and N at (0.0259, 0.5130, 0.7688).

---

No. 11
Compound: K2ScTlI6
Source: the Alexandria database
Functional: GGA-PBE
Structure: optimized geometry

The value obtained for the formation energy from raw total energies is -1205.2 meV per atom.

The structure belongs to space group R3 (No. 146, hexagonal axes); the cell edges are 8.5628, 8.5628 and 21.8439 Å and the angles 90.00°, 90.00° and 120.00°. The asymmetric unit holds K at (0.0000, 0.0000, 0.0000), K at (0.0000, 0.0000, 0.4886), Sc at (0.0000, 0.0000, 0.6960), Tl at (0.0000, 0.0000, 0.2035), I at (0.0321, 0.4109, 0.4372) and I at (0.0764, 0.6994, 0.2825).